# 1
A geometry-optimized BaUCoN3 structure. Source: Alexandria via LeMat-Bulk, functional GGA-PBE.

Unit cell a=7.6461 b=3.5437 c=7.6627 alpha=90.00 beta=106.34 gamma=90.00
Positions (direct):
Ba: 0.2433 0.2500 0.2027
Ba: 0.7567 0.7500 0.7973
U: 0.1625 0.2500 0.6718
U: 0.8375 0.7500 0.3282
Co: 0.4041 0.7500 0.9275
Co: 0.5959 0.2500 0.0725
N: 0.1369 0.7500 0.4718
N: 0.1393 0.7500 0.8398
N: 0.4564 0.2500 0.8272
N: 0.5436 0.7500 0.1728
N: 0.8607 0.2500 0.1602
N: 0.8631 0.2500 0.5282

Output
E_form (uncorrected), meV/atom: -831
Crystal system: monoclinic
VASP energy, eV/atom: -8.380
Space-group type: P2_1/m (11)
V, Å³/atom: 16.60



# 2
A geometry-optimized BaZnCoN2 structure. Source: Alexandria via LeMat-Bulk, functional GGA-PBE.

Unit cell a=4.6409 b=4.6409 c=6.5623 alpha=90.00 beta=90.00 gamma=90.00
Positions (direct):
Ba: 0.0000 0.0000 0.0000
Zn: 0.5000 0.5000 0.5000
Co: 0.0000 0.0000 0.5000
N: 0.0000 0.5000 0.0000
N: 0.5000 0.0000 0.0000

Output
E_form (uncorrected), meV/atom: 2257
Crystal system: tetragonal
VASP energy, eV/atom: -3.133
Space-group type: P4/mmm (123)
V, Å³/atom: 28.27



# 3
A geometry-optimized Ba2ZnCoN structure. Source: Alexandria via LeMat-Bulk, functional GGA-PBE.

Unit cell a=5.8337 b=5.8337 c=3.5771 alpha=90.00 beta=90.00 gamma=90.00
Positions (direct):
Ba: 0.0000 0.5000 0.0000
Ba: 0.5000 0.0000 0.0000
Zn: 0.0000 0.0000 0.5000
Co: 0.5000 0.5000 0.5000
N: 0.5000 0.5000 0.0000

Output
E_form (uncorrected), meV/atom: -274
Energy above the lowest structure with this stoichiometry, kJ/mol of atoms: 0.0
Crystal system: tetragonal
VASP energy, eV/atom: -4.385
Space-group type: P4/mmm (123)
V, Å³/atom: 24.35



# 4
A geometry-optimized Ba2ZnCoN structure. Source: Alexandria via LeMat-Bulk, functional GGA-PBE.

Unit cell a=6.0679 b=6.0679 c=3.5388 alpha=90.00 beta=90.00 gamma=90.00
Positions (direct):
Ba: 0.0000 0.5000 0.0000
Ba: 0.5000 0.0000 0.0000
Zn: 0.0000 0.0000 0.5000
Co: 0.5000 0.5000 0.0000
N: 0.5000 0.5000 0.5000

Output
E_form (uncorrected), meV/atom: 5
Energy above the lowest structure with this stoichiometry, kJ/mol of atoms: 27.0
Crystal system: tetragonal
VASP energy, eV/atom: -4.105
Space-group type: P4/mmm (123)
V, Å³/atom: 26.06



Which value of V does entry 2 give?
28.27 Å³/atom